# 1
Below is a relaxed structure of GaGe2O, with properties calculated at the PBE-GGA level.

Cell and atoms, written as POSCAR:
```
GaGe2O
1.0
-2.523 2.523 5.888
2.523 -2.523 5.888
2.523 2.523 -5.888
Ga Ge O
2 4 2
Direct
0.000 0.000 0.000 Ga
0.750 0.250 0.500 Ga
0.198 0.625 0.073 Ge
0.375 0.448 0.573 Ge
0.552 0.125 0.927 Ge
0.875 0.802 0.427 Ge
0.250 0.750 0.500 O
0.500 0.500 0.000 O
```

## Properties
density of states at the Fermi level	0.298	states/eV/atom
raw total energy	-35.84	eV/cell
SG	I-42d (122)
uncorrected formation energy	-175	meV/atom
offset from the most stable computed form	0	meV per atom

# 2
Below is a relaxed structure of GaGeO3, with properties calculated at the PBE-GGA level.

Cell and atoms, written as POSCAR:
```
GaGeO3
1.0
3.827 0.000 0.000
0.000 3.827 0.000
0.000 0.000 3.827
Ga Ge O
1 1 3
Direct
0.000 0.000 0.000 Ga
0.500 0.500 0.500 Ge
0.000 0.000 0.500 O
0.000 0.500 0.000 O
0.500 0.000 0.000 O
```

## Properties
density of states at the Fermi level	0.933	states/eV/atom
raw total energy	-26.50	eV/cell
SG	Pm-3m (221)
uncorrected formation energy	-797	meV/atom

# 3
Below is a relaxed structure of GaGeO3, with properties calculated at the PBE-GGA level.

Cell and atoms, written as POSCAR:
```
GaGeO3
1.0
4.848 -1.697 0.000
4.848 1.697 0.000
-1.256 0.000 7.186
Ga Ge O
2 2 6
Direct
0.087 0.087 0.395 Ga
0.913 0.913 0.605 Ga
0.343 0.343 0.150 Ge
0.657 0.657 0.850 Ge
0.164 0.164 0.960 O
0.275 0.275 0.360 O
0.470 0.470 0.761 O
0.530 0.530 0.239 O
0.725 0.725 0.640 O
0.836 0.836 0.040 O
```

## Properties
density of states at the Fermi level	0.000	states/eV/atom
raw total energy	-60.03	eV/cell
SG	C2/m (12)
uncorrected formation energy	-1499	meV/atom

# 4
Below is a relaxed structure of Ga2GeO, with properties calculated at the PBE-GGA level.

Cell and atoms, written as POSCAR:
```
Ga2GeO
1.0
0.000 3.132 3.132
3.132 0.000 3.132
3.132 3.132 0.000
Ga Ge O
2 1 1
Direct
0.250 0.250 0.250 Ga
0.750 0.750 0.750 Ga
0.000 0.000 0.000 Ge
0.500 0.500 0.500 O
```

## Properties
density of states at the Fermi level	0.428	states/eV/atom
raw total energy	-15.20	eV/cell
SG	Fm-3m (225)
uncorrected formation energy	106	meV/atom
offset from the most stable computed form	664	meV per atom